Y2CrPt | PBE | optimized geometry

a b c (Å): 5.011 5.011 5.011
angles (deg): 60.00 60.00 60.00
Element x y z (fractional)
Y 0.250 0.250 0.250
Y 0.750 0.750 0.750
Cr 0.000 0.000 0.000
Pt 0.500 0.500 0.500

Output
Its space group is Fm-3m, No. 225. The value obtained for the energy above the most stable polymorph in this dataset is 0.036 eV per atom. For the formation energy from the elements, the calculation gives -377 meV/atom.



LiCaHo2Au4 | PBE | optimized geometry

a b c (Å): 8.612 8.612 8.612
angles (deg): 33.54 33.54 33.54
Element x y z (fractional)
Li 0.000 0.000 0.000
Ca 0.500 0.500 0.500
Ho 0.255 0.255 0.255
Ho 0.745 0.745 0.745
Au 0.120 0.120 0.120
Au 0.375 0.375 0.375
Au 0.625 0.625 0.625
Au 0.880 0.880 0.880

Output
Its space group is R-3m, No. 166. For the formation energy from the elements, the calculation gives -755 meV/atom.



BaBr2 | PBE | optimized geometry

a b c (Å): 6.701 6.701 6.701
angles (deg): 60.00 60.00 60.00
Element x y z (fractional)
Ba 0.125 0.125 0.125
Ba 0.875 0.875 0.875
Br 0.000 0.500 0.500
Br 0.500 0.000 0.500
Br 0.500 0.500 0.000
Br 0.500 0.500 0.500

Output
As for the energy relative to the elements, uncorrected: -1.054 eV/atom. Its space group is Fd-3m, No. 227.



Pm4Sm7Ho | PBE | optimized geometry

a b c (Å): 6.325 7.306 9.036
angles (deg): 90.04 103.50 90.01
Element x y z (fractional)
Pm 0.222 0.251 0.169
Pm 0.277 0.000 0.833
Pm 0.723 0.000 0.167
Pm 0.778 0.749 0.831
Sm 0.000 0.251 0.500
Sm 0.000 0.749 0.500
Sm 0.222 0.749 0.169
Sm 0.279 0.500 0.832
Sm 0.500 0.000 0.500
Sm 0.721 0.500 0.168
Sm 0.778 0.251 0.831
Ho 0.500 0.500 0.500

Output
Its space group is P-1, No. 2. The value obtained for the energy above the most stable polymorph in this dataset is 0.000 eV per atom. For the formation energy from the elements, the calculation gives 11 meV/atom.



The calculation returns the following D(E_F) values, one per record and in order: 2.5 4.6 1.3 15.0 states/eV/f.u..
The calculation returns the following total magnetic moment values, one per record and in order: 4.1 0.0 0.0 0.0 μB per formula unit.